# 1
CsInAg | PBE-GGA | optimized geometry

```
CsInAg
1.0
4.5524 -3.3877 -1.6507
3.7386 -2.1099 4.0616
0.0130 -5.7669 1.2918
Ag Cs In
1 1 1
Direct
0.2500 0.2500 0.2500
0.0000 0.0000 0.0000
0.7500 0.7500 0.7500
```

Calculated values
energy above the most stable polymorph in this dataset = 317 meV per atom
crystal system = cubic

# 2
Cu5Ag4 | PBE-GGA | optimized geometry

```
Cu5Ag4
1.0
-1.4013 1.8522 12.6372
1.4013 -1.8522 12.6372
1.4013 1.8522 -12.6372
Cu Ag
5 4
Direct
0.1128 0.1128 0.0000
0.0000 0.0000 0.0000
0.8872 0.8872 0.0000
0.7745 0.7745 0.0000
0.2255 0.2255 0.0000
0.5562 0.5562 0.0000
0.6691 0.6691 0.0000
0.4438 0.4438 0.0000
0.3309 0.3309 0.0000
```

Calculated values
E_form = 2.266 kcal/mol of atoms
energy above the most stable polymorph in this dataset = 58 meV per atom
crystal system = orthorhombic

# 3
TbAlAsO | PBE-GGA | optimized geometry

```
TbAlAsO
1.0
-1.2541 3.7483 -0.8423
-5.6360 -2.4748 -2.6221
-2.5289 0.3097 5.1433
Al Tb O As
2 2 2 2
Direct
0.5000 0.0902 0.5554
0.5000 0.9098 0.0554
0.0000 0.3148 0.9128
0.0000 0.6852 0.4128
0.5000 0.1435 0.8793
0.5000 0.8565 0.3793
0.0000 0.7432 0.9064
0.0000 0.2568 0.4064
```

Calculated values
energy above the most stable polymorph in this dataset = 52 meV per atom
crystal system = orthorhombic

# 4
ReGeAsO | PBE-GGA | optimized geometry

```
ReGeAsO
1.0
-2.6292 0.1155 -2.8326
2.3325 -5.8281 -2.4027
-3.3309 -2.5645 2.9871
Re As Ge O
2 2 2 2
Direct
0.5000 0.4618 0.0887
0.5000 0.5382 0.5887
0.0000 0.3161 0.8666
0.0000 0.6839 0.3666
0.0000 0.1221 0.4151
0.0000 0.8779 0.9151
0.5000 0.2542 0.3836
0.5000 0.7458 0.8836
```

Calculated values
energy above the most stable polymorph in this dataset = 253 meV per atom
crystal system = orthorhombic

# 5
AlMoW2 | PBE-GGA | optimized geometry

```
AlMoW2
1.0
1.1918 -4.2367 -0.7403
1.1785 -2.6164 3.4182
-2.6784 -3.3292 1.2887
Mo W Al
1 2 1
Direct
0.2500 0.2500 0.2500
0.7500 0.7500 0.7500
0.0000 0.0000 0.0000
0.5000 0.5000 0.5000
```

Calculated values
crystal system = cubic
energy = -10.06 eV/atom

# 6
BaHg2Pb | PBE-GGA | optimized geometry

```
BaHg2Pb
1.0
5.0581 0.0000 0.0000
0.0000 5.0581 0.0000
0.0000 0.0000 4.8791
Ba Hg Pb
1 2 1
Direct
0.0000 0.0000 0.0000
0.5000 0.0000 0.5000
0.0000 0.5000 0.5000
0.5000 0.5000 0.0000
```

Calculated values
energy above the most stable polymorph in this dataset = 117 meV per atom
crystal system = tetragonal

# 7
Pa2HgO4 | PBE-GGA | optimized geometry

```
Pa2HgO4
1.0
-1.3589 1.1678 -7.1610
6.7143 -2.1690 2.1690
-5.6756 -4.7088 0.3247
Hg Pa O
2 4 8
Direct
0.0000 0.0000 0.0000
0.7500 0.5000 0.2500
0.3750 0.7500 0.1250
0.8750 0.2500 0.6250
0.3750 0.7500 0.6250
0.3750 0.2500 0.6250
0.1565 0.3122 0.8443
0.1557 0.6878 0.8435
0.1557 0.3122 0.4679
0.2179 0.8122 0.4057
0.5321 0.6878 0.8443
0.5935 0.1878 0.4057
0.5943 0.1878 0.7821
0.5943 0.8122 0.4065
```

Calculated values
crystal system = tetragonal
energy = -7.52 eV/atom

# 8
PuFeSi | PBE-GGA | optimized geometry

```
PuFeSi
1.0
0.0000 3.0086 3.0086
3.0086 0.0000 3.0086
3.0086 3.0086 0.0000
Pu Fe Si
1 1 1
Direct
0.0000 0.0000 0.0000
0.2500 0.2500 0.2500
0.7500 0.7500 0.7500
```

Calculated values
crystal system = cubic
energy = -8.61 eV/atom

no.,volume (A^3/atom)
1,48.65
2,14.58
3,19.40
4,16.75
5,15.71
6,31.21
7,20.34
8,18.15